Entry from the Alexandria database: a relaxed TbTlCr2O8 crystal (PBE with a Hubbard U).

Unit cell a=7.4955 b=7.4955 c=6.4506 alpha=90.00 beta=90.00 gamma=90.00
Last column: nearest neighbours and their distance in Å.
Space group I-4m2 (No. 119)
Unique sites:
1 Tb 0.0000 0.0000 0.0000 x2  8 O 2.46-2.47
2 Tl 0.0000 0.5000 0.2500 x2  8 O 2.54-2.64
3 Cr 0.0000 0.0000 0.5000 x2  4 O 1.67
4 Cr 0.0000 0.5000 0.7500 x2  4 O 1.69
5 O 0.0000 0.1681 0.3292 x8  1 Cr 1.67
6 O 0.0000 0.3165 0.9014 x8  1 Cr 1.69

Raw total energy = -6.78 eV per atom
Calculated volume = 362.4 Å³ per cell